# 1
A relaxed structure of Cr2RhBr. Source: Alexandria via LeMat-Bulk, functional PBE.

The structure in POSCAR format:
```
Cr2RhBr
1.0
1.4194 0.8195 8.1199
-1.4194 0.8195 8.1199
0.0000 -1.6389 8.1199
Cr Rh Br
2 1 1
direct
0.2492 0.2492 0.2492
0.7508 0.7508 0.7508
0.0000 0.0000 0.0000
0.5000 0.5000 0.5000
```

Summary:
E_tot ... -25.8 eV/cell
N(E_F) ... 4.7 states/eV/cell
Distance to the lowest polymorph of the same formula ... 0.2823 eV per atom
Formation energy from raw total energies ... 2.455 eV/f.u.
V ... 56.7 Å³ per cell


# 2
A relaxed structure of CsRbNp2O7. Source: Alexandria via LeMat-Bulk, functional PBE.

The structure in POSCAR format:
```
CsRbNp2O7
1.0
4.2724 0.0000 0.0000
0.0000 4.2724 0.0000
0.0000 0.0000 11.0447
Cs Rb Np O
1 1 2 7
direct
0.0000 0.0000 0.0000
0.0000 0.0000 0.5000
0.5000 0.5000 0.3052
0.5000 0.5000 0.6948
0.0000 0.5000 0.3111
0.0000 0.5000 0.6889
0.5000 0.0000 0.3111
0.5000 0.0000 0.6889
0.5000 0.5000 0.1351
0.5000 0.5000 0.5000
0.5000 0.5000 0.8649
```

Summary:
E_tot ... -90.7 eV/cell
N(E_F) ... 4.5 states/eV/cell
Formation energy from raw total energies ... -28.294 eV/f.u.
V ... 201.6 Å³ per cell


# 3
A relaxed structure of LuTh2Hg. Source: Alexandria via LeMat-Bulk, functional PBE.

The structure in POSCAR format:
```
LuTh2Hg
1.0
0.0000 3.8745 3.8745
3.8745 0.0000 3.8745
3.8745 3.8745 0.0000
Lu Th Hg
1 2 1
direct
0.0000 0.0000 0.0000
0.2500 0.2500 0.2500
0.7500 0.7500 0.7500
0.5000 0.5000 0.5000
```

Summary:
E_tot ... -19.4 eV/cell
N(E_F) ... 4.0 states/eV/cell
Distance to the lowest polymorph of the same formula ... 0.1253 eV per atom
V ... 116.3 Å³ per cell
ΔH_f (0 K) ... 0.0565 eV per atom